1.
A plane-wave DFT calculation with PBE was carried out for an optimized crystal structure of MnFeMoAs.

Cell lengths 4.2087, 4.2087, 4.2087 Å; angles 60.00, 60.00, 60.00 degrees
Sites, in units of the cell vectors:
Mo 0.5000 0.5000 0.5000
As 0.2500 0.2500 0.2500
Mn 0.7500 0.7500 0.7500
Fe 0.0000 0.0000 0.0000

Calculated values
M_tot in μB per atom: 0.80
Formation enthalpy at 0 K in eV/atom: 0.038
Calculated density in g cm⁻³: 8.87
Volume in Å³ per cell: 52.7
Total DFT energy (no corrections) in eV per cell: -32.96
DOS(E_F) in states/eV/f.u.: 2.65

2.
A plane-wave DFT calculation with PBE was carried out for an optimized crystal structure of BaSn2Pd.

Cell lengths 5.5001, 5.5001, 9.8981 Å; angles 73.87, 73.87, 90.00 degrees
Sites, in units of the cell vectors:
Sn 0.4443 0.1250 0.2500
Ba 0.7500 0.2500 0.5000
Sn 0.3750 0.5557 0.7500
Ba 0.0000 0.0000 0.0000
Sn 0.3057 0.6250 0.2500
Sn 0.8750 0.6943 0.7500
Pd 0.5000 0.5000 0.0000
Pd 0.2500 0.7500 0.5000

Calculated values
M_tot in μB per atom: 0.00
Formation enthalpy at 0 K in eV/atom: -0.409
Calculated density in g cm⁻³: 5.80
Volume in Å³ per cell: 275.4
Total DFT energy (no corrections) in eV per cell: -33.52
DOS(E_F) in states/eV/f.u.: 2.02

3.
A plane-wave DFT calculation with PBE was carried out for an optimized crystal structure of PmDyZnIn.

Cell lengths 3.6817, 3.6817, 7.5484 Å; angles 90.00, 90.00, 90.00 degrees
Sites, in units of the cell vectors:
Zn 0.0000 0.0000 0.3702
Pm 0.5000 0.5000 0.1252
In 0.0000 0.0000 0.8467
Dy 0.5000 0.5000 0.5860

Calculated values
M_tot in μB per atom: 0.00
Formation enthalpy at 0 K in eV/atom: -0.415
Calculated density in g cm⁻³: 7.92
Energy relative to the lowest polymorph listed for this composition in eV per atom: 0.000
Volume in Å³ per cell: 102.3
Total DFT energy (no corrections) in eV per cell: -15.02
DOS(E_F) in states/eV/f.u.: 3.41